A PBEsol-optimized structure of Mg2AlFeHg, computed with SCAN.

abc: 4.8291 5.0810 5.0810
angles: 90.00 90.00 90.00
Closest atoms and distances in Å follow each position.
Fractional coordinates of all 5 atoms:
Hg (0.0000, 0.0000, 0.0000)  2 Al 2.41, 4 Mg 2.54
Fe (0.5000, 0.5000, 0.5000)  8 Mg 3.50, 4 Al 3.59
Mg (0.0000, 0.5000, 0.0000)  2 Hg 2.54
Mg (0.0000, 0.0000, 0.5000)  2 Hg 2.54
Al (0.5000, 0.0000, 0.0000)  2 Hg 2.41

ΔH_f (0 K) = 0.68 eV per atom
Total magnetization = 3.3 μB/f.u.

A PBEsol-optimized structure of Li4Ti7O16, computed with SCAN.

abc: 5.7615 5.7615 9.5929
angles: 89.74 89.74 61.21
Closest atoms and distances in Å follow each position.
Fractional coordinates of all 27 atoms:
Ti (0.3971, 0.3971, 0.8662)  6 O 1.89-2.04
Ti (0.3701, 0.8850, 0.6330)  6 O 1.88-2.05
Ti (0.6113, 0.6113, 0.3579)  6 O 1.91-2.12
Ti (0.8607, 0.8607, 0.8573)  5 O 1.87-2.04
Ti (0.8850, 0.3701, 0.6330)  6 O 1.88-2.05
Ti (0.6175, 0.1057, 0.1438)  5 O 1.84-2.01
Ti (0.1057, 0.6175, 0.1438)  5 O 1.84-2.01
O (0.2792, 0.2792, 0.0403)  1 Li 1.86, 3 Ti 1.98-2.03
O (0.7297, 0.2149, 0.9563)  3 Ti 1.89-2.10, 1 Li 1.97
O (0.4723, 0.4723, 0.2213)  3 Ti 1.91-2.01
O (0.5219, 0.0339, 0.7791)  3 Ti 1.87-2.05
O (0.7315, 0.7315, 0.5394)  2 Li 1.99, 3 Ti 2.03-2.12
O (0.7705, 0.7705, 0.0360)  3 Ti 1.93-1.99
O (0.0247, 0.0247, 0.7182)  3 Ti 1.93-2.10
O (0.5333, 0.5333, 0.7239)  3 Ti 1.92-1.98
O (0.9692, 0.5060, 0.2865)  2 Ti 1.84-1.97, 1 Li 1.99
O (0.2306, 0.2306, 0.5488)  2 Ti 1.93, 2 Li 2.00
O (0.2149, 0.7297, 0.9563)  3 Ti 1.89-2.10, 1 Li 1.97
O (0.2915, 0.7646, 0.4667)  1 Li 1.84, 2 Ti 1.88-1.92
O (0.5060, 0.9692, 0.2865)  2 Ti 1.84-1.97, 1 Li 1.99
O (0.9759, 0.9759, 0.1998)  2 Ti 1.91, 2 Li 2.01-2.04
O (0.0339, 0.5219, 0.7791)  3 Ti 1.87-2.05
O (0.7646, 0.2915, 0.4667)  1 Li 1.84, 2 Ti 1.88-1.92
Li (0.0924, 0.0924, 0.0243)  4 O 1.86-2.04
Li (0.5896, 0.0952, 0.4623)  4 O 1.84-2.00
Li (0.0952, 0.5896, 0.4623)  4 O 1.84-2.00
Li (0.1137, 0.1137, 0.3524)  6 O 2.01-2.22

Total magnetization = 0.0 μB/f.u.
E = -305.2 eV/cell

A PBEsol-optimized structure of K2AlAs, computed with SCAN.

abc: 5.0826 5.6310 5.0826
angles: 63.17 90.00 116.83
Closest atoms and distances in Å follow each position.
Fractional coordinates of all 4 atoms:
Al (0.5000, 0.0000, 0.5000)  4 As 3.34, 8 K 3.34-3.59
As (0.7500, 0.5000, 0.7500)  4 Al 3.34, 8 K 3.34-3.59
K (0.0000, 0.0000, 0.0000)  4 As 3.34, 4 K 3.34, 4 Al 3.59
K (0.2500, 0.5000, 0.2500)  4 K 3.34, 4 Al 3.34, 4 As 3.59

ΔH_f (0 K) = 0.06 eV per atom
Total magnetization = 0.0 μB/f.u.
Energy above the lowest structure with this stoichiometry = 0.000 eV/atom

A PBEsol-optimized structure of K2MgSn, computed with SCAN.

abc: 5.8504 5.8504 5.8504
angles: 60.00 60.00 60.00
Closest atoms and distances in Å follow each position.
Fractional coordinates of all 4 atoms:
K (0.2500, 0.2500, 0.2500)  4 Mg 3.58, 4 Sn 3.58
K (0.7500, 0.7500, 0.7500)  4 Sn 3.58, 4 Mg 3.58
Mg (0.0000, 0.0000, 0.0000)  8 K 3.58
Sn (0.5000, 0.5000, 0.5000)  8 K 3.58

ΔH_f (0 K) = 0.14 eV per atom
Total magnetization = 0.4 μB/f.u.

A PBEsol-optimized structure of MnCoB3, computed with SCAN.

abc: 3.6827 3.6827 3.6827
angles: 90.00 90.00 90.00
Closest atoms and distances in Å follow each position.
Fractional coordinates of all 5 atoms:
Mn (0.0000, 0.0000, 0.0000)  6 B 1.84
B (0.0000, 0.5000, 0.0000)  2 Mn 1.84
B (0.5000, 0.0000, 0.0000)  2 Mn 1.84
B (0.0000, 0.0000, 0.5000)  2 Mn 1.84
Co (0.5000, 0.5000, 0.5000)  12 B 2.60

ΔH_f (0 K) = 0.93 eV per atom
Total magnetization = 2.9 μB/f.u.

A PBEsol-optimized structure of SrTl2Pb, computed with SCAN.

abc: 3.8909 5.7556 5.9393
angles: 104.93 109.12 90.00
Closest atoms and distances in Å follow each position.
Fractional coordinates of all 4 atoms:
Tl (0.2417, 0.2322, 0.4835)  3 Pb 3.31-3.51, 4 Tl 3.35-3.61, 3 Sr 3.47-3.48
Tl (0.7583, 0.7678, 0.5165)  3 Pb 3.31-3.51, 4 Tl 3.35-3.61, 3 Sr 3.47-3.48
Pb (0.5000, 0.0000, 0.0000)  6 Tl 3.31-3.51, 4 Sr 3.47
Sr (0.0000, 0.5000, 0.0000)  6 Tl 3.47-3.48, 4 Pb 3.47

ΔH_f (0 K) = -0.35 eV per atom
Total magnetization = 0.0 μB/f.u.

A PBEsol-optimized structure of SrAl2H, computed with SCAN.

abc: 4.9650 4.9650 4.9650
angles: 60.00 60.00 60.00
Closest atoms and distances in Å follow each position.
Fractional coordinates of all 4 atoms:
Al (0.7500, 0.7500, 0.7500)  4 Sr 3.04, 4 H 3.04
Al (0.2500, 0.2500, 0.2500)  4 H 3.04, 4 Sr 3.04
H (0.0000, 0.0000, 0.0000)  8 Al 3.04
Sr (0.5000, 0.5000, 0.5000)  8 Al 3.04

Total magnetization = 0.0 μB/f.u.
Energy above the lowest structure with this stoichiometry = 0.863 eV/atom

A PBEsol-optimized structure of CdInOs2, computed with SCAN.

abc: 2.9479 4.8041 5.4450
angles: 116.18 105.71 90.00
Closest atoms and distances in Å follow each position.
Fractional coordinates of all 4 atoms:
In (0.0000, 0.5000, 0.0000)  4 Os 2.72, 4 Cd 2.82, 2 In 2.95
Os (0.7451, 0.7451, 0.4901)  2 In 2.72, 2 Cd 2.80, 6 Os 2.82-2.95
Os (0.2549, 0.2549, 0.5099)  2 In 2.72, 2 Cd 2.80, 6 Os 2.82-2.95
Cd (0.5000, 0.0000, 0.0000)  4 Os 2.80, 4 In 2.82, 2 Cd 2.95

ΔH_f (0 K) = 0.77 eV per atom
Total magnetization = 0.0 μB/f.u.

A PBEsol-optimized structure of MgAg, computed with SCAN.

abc: 5.7060 8.1245 9.4043
angles: 90.00 90.00 90.00
Closest atoms and distances in Å follow each position.
Fractional coordinates of all 24 atoms:
Mg (0.5000, 0.2500, 0.6228)  4 Mg 2.85-3.18, 6 Ag 2.89-2.98
Mg (0.2500, 0.5563, 0.1183)  9 Ag 2.72-3.01
Mg (0.2500, 0.6112, 0.6544)  7 Ag 2.68-2.93
Mg (0.7500, 0.3888, 0.3456)  7 Ag 2.68-2.93
Mg (0.0000, 0.7500, 0.3772)  4 Mg 2.85-3.18, 6 Ag 2.89-2.98
Mg (0.2500, 0.1112, 0.3456)  7 Ag 2.68-2.93
Mg (0.2500, 0.0563, 0.8817)  9 Ag 2.72-3.01
Mg (0.5000, 0.7500, 0.3772)  4 Mg 2.85-3.18, 6 Ag 2.89-2.98
Mg (0.7500, 0.8888, 0.6544)  7 Ag 2.68-2.93
Mg (0.0000, 0.2500, 0.6228)  4 Mg 2.85-3.18, 6 Ag 2.89-2.98
Mg (0.7500, 0.4437, 0.8817)  9 Ag 2.72-3.01
Mg (0.7500, 0.9437, 0.1183)  9 Ag 2.72-3.01
Ag (0.7500, 0.5581, 0.6013)  9 Mg 2.73-2.98
Ag (0.2500, 0.8910, 0.1332)  7 Mg 2.68-2.93, 2 Ag 2.92
Ag (0.7500, 0.6090, 0.1332)  7 Mg 2.68-2.93, 2 Ag 2.92
Ag (0.0000, 0.2500, 0.1091)  4 Ag 2.85-2.92, 6 Mg 2.87-3.01
Ag (0.2500, 0.9419, 0.6013)  9 Mg 2.73-2.98
Ag (0.5000, 0.2500, 0.1091)  4 Ag 2.85-2.92, 6 Mg 2.87-3.01
Ag (0.2500, 0.3910, 0.8668)  7 Mg 2.68-2.93, 2 Ag 2.92
Ag (0.2500, 0.4419, 0.3987)  9 Mg 2.73-2.98
Ag (0.7500, 0.0581, 0.3987)  9 Mg 2.73-2.98
Ag (0.0000, 0.7500, 0.8909)  4 Ag 2.85-2.92, 6 Mg 2.87-3.01
Ag (0.5000, 0.7500, 0.8909)  4 Ag 2.85-2.92, 6 Mg 2.87-3.01
Ag (0.7500, 0.1090, 0.8668)  7 Mg 2.68-2.93, 2 Ag 2.92

ΔH_f (0 K) = -0.20 eV per atom
Total magnetization = 0.0 μB/f.u.

A PBEsol-optimized structure of BaSrMg2, computed with SCAN.

abc: 4.0412 4.0412 9.3355
angles: 90.00 90.00 90.00
Closest atoms and distances in Å follow each position.
Fractional coordinates of all 4 atoms:
Mg (0.5000, 0.5000, 0.2055)  4 Mg 3.19
Mg (0.0000, 0.0000, 0.0533)  4 Mg 3.19
Ba (0.5000, 0.5000, 0.7999)  5 Mg 3.71-3.79, 4 Ba 4.04
Sr (0.0000, 0.0000, 0.4412)  5 Mg 3.61-3.62

ΔH_f (0 K) = 0.01 eV per atom
Total magnetization = 0.2 μB/f.u.
Energy above the lowest structure with this stoichiometry = 0.055 eV/atom

A PBEsol-optimized structure of Li2CaMg, computed with SCAN.

abc: 3.3386 5.0232 6.2398
angles: 90.00 98.59 90.00
Closest atoms and distances in Å follow each position.
Fractional coordinates of all 4 atoms:
Li (0.2640, 0.0000, 0.2148)  2 Li 2.98-3.31, 2 Mg 3.01, 2 Ca 3.27
Li (0.7360, 0.0000, 0.7852)  2 Li 2.98-3.31, 2 Mg 3.01, 2 Ca 3.27
Mg (0.5000, 0.5000, 0.0000)  4 Li 3.01, 2 Ca 3.31, 2 Mg 3.34
Ca (0.0000, 0.5000, 0.5000)  4 Li 3.27, 2 Mg 3.31, 2 Ca 3.34

ΔH_f (0 K) = 0.04 eV per atom
Total magnetization = 0.3 μB/f.u.

A PBEsol-optimized structure of HgSb, computed with SCAN.

abc: 4.1542 4.1542 7.6688
angles: 74.29 74.29 60.00
Closest atoms and distances in Å follow each position.
Fractional coordinates of all 4 atoms:
Hg (0.6278, 0.6278, 0.1165)  3 Hg 2.94, 3 Sb 3.08
Hg (0.3722, 0.3722, 0.8835)  3 Hg 2.94, 3 Sb 3.08
Sb (0.1276, 0.1276, 0.6173)  3 Sb 2.94, 3 Hg 3.08
Sb (0.8724, 0.8724, 0.3827)  3 Sb 2.94, 3 Hg 3.08

Total magnetization = 0.0 μB/f.u.
Energy above the lowest structure with this stoichiometry = 0.011 eV/atom